[1]
SrMo2Cl | GGA-PBEsol | relaxed

Properties
formation energy without anion corrections = 0.779 eV/atom
theoretical density = 5.52 Mg/m³
M_tot = 0.0 μB per cell
V = 23.71 Å³ per atom

a b c (Å): 3.0996 5.3325 5.7372
angles (deg): 90.00 90.00 90.00
Positions (direct):
1 Mo 0.0000 0.3026 0.0000
2 Mo 0.0000 0.6974 0.0000
3 Sr 0.5000 0.5000 0.5000
4 Cl 0.5000 0.0000 0.5000



[2]
SrMoCl2 | GGA-PBEsol | relaxed

Properties
formation energy without anion corrections = -0.122 eV/atom
energy above the lowest structure with this stoichiometry = 44 meV/atom
theoretical density = 4.13 Mg/m³
M_tot = 1.4 μB per cell
V = 25.59 Å³ per atom

a b c (Å): 3.7825 3.7825 8.5443
angles (deg): 77.21 77.21 60.00
Positions (direct):
1 Cl 0.1180 0.1180 0.6461
2 Cl 0.8820 0.8820 0.3539
3 Mo 0.5000 0.5000 0.5000
4 Sr 0.0000 0.0000 0.0000



[3]
Ta2MoCl2 | GGA-PBEsol | relaxed

Properties
formation energy without anion corrections = 0.846 eV/atom
theoretical density = 10.12 Mg/m³
M_tot = 1.5 μB per cell
V = 17.35 Å³ per atom

a b c (Å): 4.3392 4.3392 5.5346
angles (deg): 113.08 113.08 90.00
Positions (direct):
1 Cl 0.6389 0.6389 0.2778
2 Cl 0.3611 0.3611 0.7222
3 Mo 0.0000 0.0000 0.0000
4 Ta 0.7500 0.2500 0.5000
5 Ta 0.2500 0.7500 0.5000



[4]
TaMoCl2 | GGA-PBEsol | relaxed

Properties
formation energy without anion corrections = 0.645 eV/atom
energy above the lowest structure with this stoichiometry = 945 meV/atom
theoretical density = 9.35 Mg/m³
M_tot = 0.0 μB per cell
V = 15.45 Å³ per atom

a b c (Å): 3.5893 3.5893 5.4259
angles (deg): 109.31 109.31 90.00
Positions (direct):
1 Ta 0.2500 0.7500 0.5000
2 Cl 0.0000 0.0000 0.0000
3 Cl 0.7500 0.2500 0.5000
4 Mo 0.5000 0.5000 0.0000



[5]
TaMoCl2 | GGA-PBEsol | relaxed

Properties
formation energy without anion corrections = -0.299 eV/atom
energy above the lowest structure with this stoichiometry = 0 meV/atom
theoretical density = 8.12 Mg/m³
M_tot = 0.0 μB per cell
V = 17.78 Å³ per atom

a b c (Å): 2.9392 2.9392 8.2347
angles (deg): 90.00 90.00 90.00
Positions (direct):
1 Mo 0.0000 0.0000 0.4991
2 Ta 0.5000 0.5000 0.7438
3 Cl 0.0000 0.0000 0.9407
4 Cl 0.5000 0.5000 0.3165



[6]
TaMoCl2 | GGA-PBEsol | relaxed

Properties
formation energy without anion corrections = -0.110 eV/atom
energy above the lowest structure with this stoichiometry = 190 meV/atom
theoretical density = 6.85 Mg/m³
M_tot = 0.4 μB per cell
V = 21.07 Å³ per atom

a b c (Å): 3.0614 4.3950 6.4878
angles (deg): 96.37 103.65 90.00
Positions (direct):
1 Cl 0.3473 0.2871 0.6947
2 Cl 0.6527 0.7129 0.3053
3 Ta 0.0000 0.5000 0.0000
4 Mo 0.5000 0.0000 0.0000



[7]
Tc2MoCl | GGA-PBEsol | relaxed

Properties
formation energy without anion corrections = 0.396 eV/atom
energy above the lowest structure with this stoichiometry = 122 meV/atom
theoretical density = 9.40 Mg/m³
M_tot = 0.0 μB per cell
V = 14.46 Å³ per atom

a b c (Å): 2.8202 3.9585 5.3543
angles (deg): 90.00 104.57 90.00
Positions (direct):
1 Mo 0.4494 0.5000 0.7448
2 Tc 0.6413 0.5000 0.2407
3 Tc 0.0442 0.0000 0.0348
4 Cl 0.3651 0.0000 0.4798



[8]
Tc2MoCl | GGA-PBEsol | relaxed

Properties
formation energy without anion corrections = 0.274 eV/atom
energy above the lowest structure with this stoichiometry = 0 meV/atom
theoretical density = 9.38 Mg/m³
M_tot = 0.0 μB per cell
V = 14.49 Å³ per atom

a b c (Å): 2.8365 2.8365 8.4763
angles (deg): 80.37 80.37 60.00
Positions (direct):
1 Tc 0.2484 0.2484 0.2549
2 Tc 0.7516 0.7516 0.7451
3 Mo 0.0000 0.0000 0.0000
4 Cl 0.5000 0.5000 0.5000



[9]
TcMoCl4 | GGA-PBEsol | relaxed

Properties
formation energy without anion corrections = 1.618 eV/atom
theoretical density = 4.32 Mg/m³
M_tot = 8.3 μB per cell
V = 21.49 Å³ per atom

a b c (Å): 5.6707 5.6707 5.6707
angles (deg): 60.00 60.00 60.00
Positions (direct):
1 Cl 0.3748 0.8757 0.3748
2 Cl 0.3748 0.3748 0.8757
3 Cl 0.8757 0.3748 0.3748
4 Cl 0.3748 0.3748 0.3748
5 Mo 0.7500 0.7500 0.7500
6 Tc 0.0000 0.0000 0.0000



[10]
TcMoCl2 | GGA-PBEsol | relaxed

Properties
formation energy without anion corrections = 0.839 eV/atom
theoretical density = 7.34 Mg/m³
M_tot = 0.0 μB per cell
V = 14.98 Å³ per atom

a b c (Å): 3.9732 3.9732 4.7226
angles (deg): 114.88 114.88 90.00
Positions (direct):
1 Cl 0.0000 0.0000 0.0000
2 Cl 0.7500 0.2500 0.5000
3 Tc 0.2500 0.7500 0.5000
4 Mo 0.5000 0.5000 0.0000



[11]
TcMo4Cl | GGA-PBEsol | relaxed

Properties
formation energy without anion corrections = 0.949 eV/atom
theoretical density = 8.87 Mg/m³
M_tot = 0.0 μB per cell
V = 16.13 Å³ per atom

a b c (Å): 5.1534 5.1534 5.1534
angles (deg): 60.00 60.00 60.00
Positions (direct):
1 Mo 0.8764 0.3745 0.3745
2 Mo 0.3745 0.8764 0.3745
3 Mo 0.3745 0.3745 0.3745
4 Mo 0.3745 0.3745 0.8764
5 Cl 0.0000 0.0000 0.0000
6 Tc 0.7500 0.7500 0.7500



[12]
TcMoCl | GGA-PBEsol | relaxed

Properties
formation energy without anion corrections = 0.175 eV/atom
theoretical density = 8.54 Mg/m³
M_tot = 0.0 μB per cell
V = 14.87 Å³ per atom

a b c (Å): 2.8895 2.8895 6.1688
angles (deg): 90.00 90.00 120.00
Positions (direct):
1 Cl 0.0000 0.0000 0.9875
2 Mo 0.6667 0.3333 0.6667
3 Tc 0.3333 0.6667 0.3458



[13]
TeMoCl | GGA-PBEsol | relaxed

Properties
formation energy without anion corrections = -0.262 eV/atom
theoretical density = 6.34 Mg/m³
M_tot = 0.0 μB per cell
V = 22.62 Å³ per atom

a b c (Å): 3.2979 3.2979 7.2053
angles (deg): 90.00 90.00 120.00
Positions (direct):
1 Cl 0.0000 0.0000 0.9107
2 Te 0.6667 0.3333 0.4140
3 Mo 0.3333 0.6667 0.6753



[14]
Ti3MoCl | GGA-PBEsol | relaxed

Properties
formation energy without anion corrections = 0.201 eV/atom
theoretical density = 5.53 Mg/m³
M_tot = 0.0 μB per cell
V = 16.51 Å³ per atom

a b c (Å): 4.3539 4.3539 4.3539
angles (deg): 90.00 90.00 90.00
Positions (direct):
1 Cl 0.0000 0.0000 0.0000
2 Ti 0.5000 0.0000 0.0000
3 Ti 0.0000 0.5000 0.0000
4 Ti 0.0000 0.0000 0.5000
5 Mo 0.5000 0.5000 0.5000



[15]
TlMo2Cl | GGA-PBEsol | relaxed

Properties
formation energy without anion corrections = 0.463 eV/atom
energy above the lowest structure with this stoichiometry = 301 meV/atom
theoretical density = 7.77 Mg/m³
M_tot = 0.0 μB per cell
V = 23.05 Å³ per atom

a b c (Å): 3.1423 4.9208 6.2983
angles (deg): 101.71 104.45 90.00
Positions (direct):
1 Mo 0.3440 0.9190 0.6881
2 Mo 0.9912 0.0166 0.9824
3 Cl 0.6970 0.0702 0.3941
4 Tl 0.4677 0.4942 0.9354